[1]
VASP calculation (PBE) on an optimized crystal structure of DyB4Rh4.

Computed properties:
Total magnetic moment (μB per cell): 0.000
ΔH_f (0 K) (eV per atom): -0.586
Volume (A^3/atom): 11.81

Cell: 5.3349 5.3349 7.4686 Å, 90.00 90.00 90.00°
With the nearest neighbours (Å) after each atom.
Positions (direct):
Dy: 0.2500 0.7500 0.2500  12 Rh 2.96-3.18, 12 B 3.03-3.16
Dy: 0.7500 0.2500 0.7500  12 Rh 2.96-3.18, 12 B 3.03-3.16
B: 0.0814 0.2500 0.1009  1 B 1.80
B: 0.2500 0.0814 0.6009  1 B 1.80
B: 0.2500 0.4186 0.6009  1 B 1.80
B: 0.4186 0.2500 0.1009  1 B 1.80
B: 0.5814 0.7500 0.8991  1 B 1.80
B: 0.7500 0.5814 0.3991  1 B 1.80
B: 0.7500 0.9186 0.3991  1 B 1.80
B: 0.9186 0.7500 0.8991  1 B 1.80
Rh: 0.0013 0.7500 0.6046  5 B 2.21-2.24
Rh: 0.2500 0.5013 0.8954  5 B 2.21-2.24
Rh: 0.2500 0.9987 0.8954  5 B 2.21-2.24
Rh: 0.4987 0.7500 0.6046  5 B 2.21-2.24
Rh: 0.5013 0.2500 0.3954  5 B 2.21-2.24
Rh: 0.7500 0.0013 0.1046  5 B 2.21-2.24
Rh: 0.7500 0.4987 0.1046  5 B 2.21-2.24
Rh: 0.9987 0.2500 0.3954  5 B 2.21-2.24

[2]
VASP calculation (PBE) on an optimized crystal structure of Dy3B2Rh5.

Computed properties:
Total magnetic moment (μB per cell): 0.000
ΔH_f (0 K) (eV per atom): -0.794
Volume (A^3/atom): 15.75

Cell: 9.8257 9.8257 3.2618 Å, 90.00 90.00 90.00°
With the nearest neighbours (Å) after each atom.
Positions (direct):
Dy: 0.0000 0.0000 0.0000  8 Rh 2.88
Dy: 0.1741 0.3259 0.0000  3 B 2.85-2.95, 10 Rh 2.92-3.06
Dy: 0.3259 0.8259 0.0000  3 B 2.85-2.95, 10 Rh 2.92-3.06
Dy: 0.5000 0.5000 0.0000  8 Rh 2.88
Dy: 0.6741 0.1741 0.0000  3 B 2.85-2.95, 10 Rh 2.92-3.06
Dy: 0.8259 0.6741 0.0000  3 B 2.85-2.95, 10 Rh 2.92-3.06
B: 0.1211 0.6211 0.0000  6 Rh 2.24-2.34
B: 0.3789 0.1211 0.0000  6 Rh 2.24-2.34
B: 0.6211 0.8789 0.0000  6 Rh 2.24-2.34
B: 0.8789 0.3789 0.0000  6 Rh 2.24-2.34
Rh: 0.0000 0.5000 0.5000  4 B 2.34
Rh: 0.0716 0.7691 0.5000  2 B 2.24
Rh: 0.2309 0.0716 0.5000  2 B 2.24
Rh: 0.2691 0.5716 0.5000  2 B 2.24
Rh: 0.4284 0.2691 0.5000  2 B 2.24
Rh: 0.5000 0.0000 0.5000  4 B 2.34
Rh: 0.5716 0.7309 0.5000  2 B 2.24
Rh: 0.7309 0.4284 0.5000  2 B 2.24
Rh: 0.7691 0.9284 0.5000  2 B 2.24
Rh: 0.9284 0.2309 0.5000  2 B 2.24

[3]
VASP calculation (PBE) on an optimized crystal structure of DyBRh4.

Computed properties:
Total magnetic moment (μB per cell): 0.000
ΔH_f (0 K) (eV per atom): -0.039
Volume (A^3/atom): 17.45

Cell: 5.0968 5.0968 8.0625 Å, 90.00 90.00 90.00°
With the nearest neighbours (Å) after each atom.
Positions (direct):
Dy: 0.2500 0.7500 0.2500  4 Rh 2.80
Dy: 0.7500 0.2500 0.7500  4 Rh 2.80
B: 0.2500 0.7500 0.7500  4 Rh 2.03
B: 0.7500 0.2500 0.2500  4 Rh 2.03
Rh: 0.0070 0.2500 0.0574  1 B 2.03
Rh: 0.2500 0.0070 0.5574  1 B 2.03
Rh: 0.2500 0.4930 0.5574  1 B 2.03
Rh: 0.4930 0.2500 0.0574  1 B 2.03
Rh: 0.5070 0.7500 0.9426  1 B 2.03
Rh: 0.7500 0.5070 0.4426  1 B 2.03
Rh: 0.7500 0.9930 0.4426  1 B 2.03
Rh: 0.9930 0.7500 0.9426  1 B 2.03

Q: Which value of volume does entry 1 give?
A: 11.81 A^3/atom